Record 1
Density functional theory data (PBE) for a geometry-optimized SrMoPt2 structure.

Cell: 2.903 3.731 7.318 Å, 90.00 90.00 90.00°
Space group Pmmm (No. 47)
Unique sites:
Sr (0.000, 0.000, 0.000) [1 per cell]
Mo (0.000, 0.000, 0.500) [1 per cell]
Pt (0.500, 0.500, 0.309) [2 per cell]

Properties
**Offset from the most stable computed form**: 0 meV per atom
**E**: -6.39 eV per atom
**Energy of formation from the pure elements**: -244 meV per atom



Record 2
Density functional theory data (PBE) for a geometry-optimized CsTe2IN structure.

Cell: 6.730 6.730 3.946 Å, 90.00 90.00 90.00°
Space group P4/mmm (No. 123)
Unique sites:
Cs (0.000, 0.000, 0.000) [1 per cell]
Te (0.000, 0.500, 0.500) [2 per cell]
I (0.500, 0.500, 0.500) [1 per cell]
N (0.500, 0.500, 0.000) [1 per cell]

Properties
**Offset from the most stable computed form**: 395 meV per atom
**E**: -2.73 eV per atom



Record 3
Density functional theory data (PBE) for a geometry-optimized EuY2Tl structure.

Cell: 7.832 7.832 7.832 Å, 90.00 90.00 90.00°
Space group Fm-3m (No. 225)
Unique sites:
Eu (0.000, 0.000, 0.000) [4 per cell]
Y (0.250, 0.250, 0.250) [8 per cell]
Tl (0.000, 0.000, 0.500) [4 per cell]

Properties
**Offset from the most stable computed form**: 112 meV per atom
**E**: -6.44 eV per atom
**Energy of formation from the pure elements**: -45 meV per atom



Record 4
Density functional theory data (PBE) for a geometry-optimized CrSnSb2 structure.

Cell: 3.2684 3.2684 34.2442 Å, 90.00 90.00 120.00°
Space group R-3m (No. 166, hexagonal axes)
Unique sites:
Cr (0.0000, 0.0000, 0.0000) [3 per cell]
Sn (0.0000, 0.0000, 0.5000) [3 per cell]
Sb (0.0000, 0.0000, 0.0799) [6 per cell]

Properties
**E**: -4.94 eV per atom



Record 5
Density functional theory data (PBE) for a geometry-optimized TaTl2As structure.

Cell: 7.118 7.118 7.118 Å, 90.00 90.00 90.00°
Space group F-43m (No. 216)
Unique sites:
Ta (0.000, 0.000, 0.000) [4 per cell]
Tl (0.000, 0.000, 0.500) [4 per cell]
Tl (0.250, 0.250, 0.250) [4 per cell]
As (0.250, 0.250, 0.750) [4 per cell]

Properties
**Offset from the most stable computed form**: 670 meV per atom
**E**: -4.54 eV per atom
**Energy of formation from the pure elements**: 766 meV per atom



Record 6
Density functional theory data (PBE) for a geometry-optimized DyMg3Ir structure.

Cell: 5.415 5.804 7.352 Å, 90.00 106.82 90.00°
Space group P2_1/m (No. 11)
Unique sites:
Dy (0.113, 0.250, 0.409) [2 per cell]
Mg (0.021, 0.250, 0.890) [2 per cell]
Mg (0.495, 0.502, 0.792) [4 per cell]
Ir (0.324, 0.750, 0.464) [2 per cell]

Properties
**E**: -4.02 eV per atom
**Energy of formation from the pure elements**: -372 meV per atom



Record 7
Density functional theory data (PBE) for a geometry-optimized ScV3Ru structure.

Cell: 4.311 4.311 4.311 Å, 90.00 90.00 90.00°
Space group Pm-3m (No. 221)
Unique sites:
Sc (0.000, 0.000, 0.000) [1 per cell]
V (0.000, 0.000, 0.500) [3 per cell]
Ru (0.500, 0.500, 0.500) [1 per cell]

Properties
**Offset from the most stable computed form**: 1009 meV per atom
**E**: -6.87 eV per atom
**Energy of formation from the pure elements**: 1719 meV per atom



Record 8
Density functional theory data (PBE) for a geometry-optimized YHoTh2Bi5 structure.

Cell: 5.404 5.404 11.716 Å, 90.00 90.00 90.00°
Space group P4/mmm (No. 123)
Unique sites:
Y (0.000, 0.000, 0.000) [1 per cell]
Ho (0.000, 0.000, 0.500) [1 per cell]
Th (0.500, 0.500, 0.297) [2 per cell]
Bi (0.000, 0.000, 0.247) [2 per cell]
Bi (0.000, 0.500, 0.500) [2 per cell]
Bi (0.500, 0.500, 0.000) [1 per cell]

Properties
**E**: -5.01 eV per atom
**Energy of formation from the pure elements**: 23 meV per atom



Record 9
Density functional theory data (PBE) for a geometry-optimized LaHgS2N structure.

Cell: 5.053 5.053 4.232 Å, 90.00 90.00 90.00°
Space group P4/mmm (No. 123)
Unique sites:
La (0.000, 0.000, 0.000) [1 per cell]
Hg (0.500, 0.500, 0.500) [1 per cell]
S (0.000, 0.500, 0.500) [2 per cell]
N (0.500, 0.500, 0.000) [1 per cell]

Properties
**Offset from the most stable computed form**: 0 meV per atom
**E**: -4.31 eV per atom



Record 10
Density functional theory data (PBE) for a geometry-optimized TaVH3 structure.

Cell: 7.286 8.817 5.225 Å, 90.00 106.85 90.00°
Space group C2/c (No. 15)
Unique sites:
Ta (0.000, 0.099, 0.250) [4 per cell]
Ta (0.000, 0.307, 0.750) [4 per cell]
V (0.167, 0.400, 0.343) [8 per cell]
H (0.075, 0.100, 0.631) [8 per cell]
H (0.184, 0.425, 0.003) [8 per cell]
H (0.192, 0.231, 0.157) [8 per cell]

Properties
**Offset from the most stable computed form**: 138 meV per atom
**E**: -6.21 eV per atom



Record 11
Density functional theory data (PBE) for a geometry-optimized HfGeN structure.

Cell: 3.777 3.777 6.929 Å, 90.00 90.00 90.00°
Space group P4/nmm (No. 129, origin choice 2)
Unique sites:
Hf (0.250, 0.250, 0.135) [2 per cell]
Ge (0.250, 0.250, 0.565) [2 per cell]
N (0.250, 0.750, 0.000) [2 per cell]

Properties
**Offset from the most stable computed form**: 0 meV per atom
**E**: -8.60 eV per atom



Record 12
Density functional theory data (PBE) for a geometry-optimized SnTePt2 structure.

Cell: 6.836 6.836 6.836 Å, 90.00 90.00 90.00°
Space group Fm-3m (No. 225)
Unique sites:
Sn (0.000, 0.000, 0.000) [4 per cell]
Te (0.000, 0.000, 0.500) [4 per cell]
Pt (0.250, 0.250, 0.250) [8 per cell]

Properties
**Offset from the most stable computed form**: 131 meV per atom
**E**: -4.85 eV per atom



Record 13
Density functional theory data (PBE) for a geometry-optimized EuY2Pa structure.

Cell: 7.995 7.995 7.995 Å, 90.00 90.00 90.00°
Space group Fm-3m (No. 225)
Unique sites:
Eu (0.000, 0.000, 0.000) [4 per cell]
Y (0.250, 0.250, 0.250) [8 per cell]
Pa (0.000, 0.000, 0.500) [4 per cell]

Properties
**Offset from the most stable computed form**: 272 meV per atom
**E**: -7.74 eV per atom
**Energy of formation from the pure elements**: 439 meV per atom



Record 14
Density functional theory data (PBE) for a geometry-optimized MgGaPd2 structure.

Cell: 4.421 4.421 3.137 Å, 90.00 90.00 90.00°
Space group P4/mmm (No. 123)
Unique sites:
Mg (0.000, 0.000, 0.000) [1 per cell]
Ga (0.500, 0.500, 0.000) [1 per cell]
Pd (0.000, 0.500, 0.500) [2 per cell]

Properties
**E**: -4.45 eV per atom
**Energy of formation from the pure elements**: -701 meV per atom



Record 15
Density functional theory data (PBE) for a geometry-optimized Dy3GeTe structure.

Cell: 14.571 11.210 7.348 Å, 90.00 92.14 90.00°
Space group C2/c (No. 15)
Unique sites:
Dy (0.096, 0.055, 0.082) [8 per cell]
Dy (0.104, 0.254, 0.439) [8 per cell]
Dy (0.106, 0.390, 0.929) [8 per cell]
Ge (0.000, 0.171, 0.750) [4 per cell]
Ge (0.000, 0.432, 0.250) [4 per cell]
Te (0.244, 0.428, 0.617) [8 per cell]

Properties
**E**: -5.12 eV per atom



Record 16
Density functional theory data (PBE) for a geometry-optimized BeZnFe6 structure.

Cell: 6.969 10.221 10.206 Å, 90.00 90.00 90.00°
Space group Cmmm (No. 65)
Unique sites:
Be (0.000, 0.000, 0.246) [4 per cell]
Be (0.000, 0.254, 0.000) [4 per cell]
Zn (0.000, 0.255, 0.500) [4 per cell]
Zn (0.000, 0.500, 0.247) [4 per cell]
Fe (0.000, 0.000, 0.000) [2 per cell]
Fe (0.000, 0.000, 0.500) [2 per cell]
Fe (0.000, 0.251, 0.243) [8 per cell]
Fe (0.000, 0.500, 0.000) [2 per cell]
Fe (0.000, 0.500, 0.500) [2 per cell]
Fe (0.241, 0.123, 0.370) [16 per cell]
Fe (0.242, 0.127, 0.121) [16 per cell]

Properties
**E**: -6.96 eV per atom
**Energy of formation from the pure elements**: 11 meV per atom



Record 17
Density functional theory data (PBE) for a geometry-optimized CrSn3Cl8 structure.

Cell: 8.4793 8.4793 11.7638 Å, 90.00 90.00 120.00°
Space group P6_3mc (No. 186)
Unique sites:
Cr (0.3333, 0.6667, 0.0000) [2 per cell]
Sn (0.1683, 0.3366, 0.7214) [6 per cell]
Cl (0.0000, 0.0000, 0.3519) [2 per cell]
Cl (0.0590, 0.5295, 0.8684) [6 per cell]
Cl (0.1911, 0.3821, 0.1140) [6 per cell]
Cl (0.3333, 0.6667, 0.5936) [2 per cell]

Properties
**E**: -3.98 eV per atom



Record 18
Density functional theory data (PBE) for a geometry-optimized MnRe2Sb structure.

Cell: 6.254 6.254 6.254 Å, 90.00 90.00 90.00°
Space group F-43m (No. 216)
Unique sites:
Mn (0.000, 0.000, 0.000) [4 per cell]
Re (0.000, 0.000, 0.500) [4 per cell]
Re (0.250, 0.250, 0.250) [4 per cell]
Sb (0.250, 0.250, 0.750) [4 per cell]

Properties
**E**: -8.98 eV per atom



Record 19
Density functional theory data (PBE) for a geometry-optimized SrTcRh2 structure.

Cell: 4.095 4.095 8.561 Å, 90.00 90.00 90.00°
Space group I-4m2 (No. 119)
Unique sites:
Sr (0.000, 0.000, 0.000) [2 per cell]
Tc (0.000, 0.500, 0.750) [2 per cell]
Rh (0.000, 0.000, 0.500) [2 per cell]
Rh (0.000, 0.500, 0.250) [2 per cell]

Properties
**Offset from the most stable computed form**: 453 meV per atom
**E**: -6.09 eV per atom
**Energy of formation from the pure elements**: 593 meV per atom



Record 20
Density functional theory data (PBE) for a geometry-optimized Sr2Ac4Pm structure.

Cell: 4.001 40.710 3.960 Å, 90.00 90.00 90.00°
Space group Cmmm (No. 65)
Unique sites:
Sr (0.000, 0.206, 0.000) [4 per cell]
Ac (0.000, 0.063, 0.000) [4 per cell]
Ac (0.000, 0.370, 0.500) [4 per cell]
Pm (0.000, 0.500, 0.500) [2 per cell]

Properties
**E**: -3.45 eV per atom
**Energy of formation from the pure elements**: 62 meV per atom